# IrAuBr2 | Alexandria | PBEsol | optimized geometry
# Space group: Fm-3m (225)
# Raw formation energy: 1.0325 eV per atom
# Calculated total energy: -3.339 eV/atom
data_IrAuBr2
_chemical_formula_sum 'Ir1 Au1 Br2'
_space_group_name_H-M_alt 'P 1'
_space_group_IT_number 1
_space_group_name_Hall 'P 1'
_cell_length_a 4.702
_cell_length_b 4.702
_cell_length_c 4.702
_cell_angle_alpha 60.00
_cell_angle_beta 60.00
_cell_angle_gamma 60.00
loop_
_atom_site_label
_atom_site_fract_x
_atom_site_fract_y
_atom_site_fract_z
_atom_site_occupancy
Ir1 0.000 0.000 0.000 1
Au1 0.500 0.500 0.500 1
Br1 0.250 0.250 0.250 1
Br2 0.750 0.750 0.750 1